Record 1
# PBE-GGA Li2PaPO8, optimized geometry
data_Li2PaPO8
_chemical_formula_sum 'Li2 Pa1 P1 O8'
_space_group_name_H-M_alt 'P 1'
_space_group_IT_number 1
_cell_length_a 4.393
_cell_length_b 4.393
_cell_length_c 6.666
_cell_angle_alpha 90.00
_cell_angle_beta 90.00
_cell_angle_gamma 120.00
loop_
_space_group_symop_operation_xyz
'x,y,z'
loop_
_atom_site_label
_atom_site_type_symbol
_atom_site_fract_x
_atom_site_fract_y
_atom_site_fract_z
Li1 Li 0.667 0.333 0.179
Li2 Li 0.333 0.667 0.821
Pa1 Pa 0.000 0.000 0.500
P1 P 0.000 0.000 0.000
O1 O 0.835 0.669 0.834
O2 O 0.331 0.165 0.834
O3 O 0.835 0.165 0.834
O4 O 0.165 0.331 0.166
O5 O 0.669 0.835 0.166
O6 O 0.165 0.835 0.166
O7 O 0.667 0.333 0.461
O8 O 0.333 0.667 0.539
# Total DFT energy (no corrections)   -6.4121 eV per atom
# M_tot   2.22 μB/cell

Record 2
# PBE-GGA LiP2PbO, optimized geometry
data_LiP2PbO
_chemical_formula_sum 'Li1 P2 Pb1 O1'
_space_group_name_H-M_alt 'P 1'
_space_group_IT_number 1
_cell_length_a 5.382
_cell_length_b 5.382
_cell_length_c 4.309
_cell_angle_alpha 90.00
_cell_angle_beta 90.00
_cell_angle_gamma 90.00
loop_
_space_group_symop_operation_xyz
'x,y,z'
loop_
_atom_site_label
_atom_site_type_symbol
_atom_site_fract_x
_atom_site_fract_y
_atom_site_fract_z
Pb1 Pb 0.000 0.000 0.000
P1 P 0.000 0.500 0.000
P2 P 0.500 0.000 0.000
O1 O 0.000 0.000 0.500
Li1 Li 0.500 0.500 0.500
# Total DFT energy (no corrections)   -3.6849 eV per atom
# Energy above the lowest structure with this stoichiometry   226 meV/atom
# M_tot   2.78 μB/cell

Record 3
# PBE-GGA LiP2PbO, optimized geometry
data_LiP2PbO
_chemical_formula_sum 'Li1 P2 Pb1 O1'
_space_group_name_H-M_alt 'P 1'
_space_group_IT_number 1
_cell_length_a 5.200
_cell_length_b 5.200
_cell_length_c 3.387
_cell_angle_alpha 90.00
_cell_angle_beta 90.00
_cell_angle_gamma 90.00
loop_
_space_group_symop_operation_xyz
'x,y,z'
loop_
_atom_site_label
_atom_site_type_symbol
_atom_site_fract_x
_atom_site_fract_y
_atom_site_fract_z
Pb1 Pb 0.500 0.500 0.500
P1 P 0.000 0.500 0.000
P2 P 0.500 0.000 0.000
O1 O 0.000 0.000 0.500
Li1 Li 0.000 0.000 0.000
# Total DFT energy (no corrections)   -3.9110 eV per atom
# Energy above the lowest structure with this stoichiometry   0 meV/atom
# M_tot   0.00 μB/cell

Record 4
# PBE-GGA LiP3PbO9, optimized geometry
data_LiP3PbO9
_chemical_formula_sum 'Li2 P6 Pb2 O18'
_space_group_name_H-M_alt 'P 1'
_space_group_IT_number 1
_cell_length_a 7.385
_cell_length_b 7.605
_cell_length_c 6.865
_cell_angle_alpha 80.51
_cell_angle_beta 81.63
_cell_angle_gamma 83.03
loop_
_space_group_symop_operation_xyz
'x,y,z'
loop_
_atom_site_label
_atom_site_type_symbol
_atom_site_fract_x
_atom_site_fract_y
_atom_site_fract_z
Li1 Li 0.817 0.815 0.470
Li2 Li 0.183 0.185 0.530
O1 O 0.231 0.588 0.989
O2 O 0.769 0.412 0.011
O3 O 0.329 0.624 0.318
O4 O 0.671 0.376 0.682
O5 O 0.349 0.697 0.647
O6 O 0.651 0.303 0.353
O7 O 0.156 0.367 0.288
O8 O 0.844 0.633 0.712
O9 O 0.989 0.691 0.265
O10 O 0.011 0.309 0.735
O11 O 0.587 0.795 0.357
O12 O 0.413 0.205 0.643
O13 O 0.254 0.955 0.377
O14 O 0.746 0.045 0.623
O15 O 0.432 0.846 0.929
O16 O 0.568 0.154 0.071
O17 O 0.111 0.906 0.833
O18 O 0.889 0.094 0.167
P1 P 0.159 0.566 0.229
P2 P 0.841 0.434 0.771
P3 P 0.384 0.787 0.414
P4 P 0.616 0.213 0.586
P5 P 0.280 0.775 0.850
P6 P 0.720 0.225 0.150
Pb1 Pb 0.769 0.849 0.978
Pb2 Pb 0.231 0.151 0.022
# Total DFT energy (no corrections)   -6.8573 eV per atom
# M_tot   0.00 μB/cell

Record 5
# PBE-GGA LiP2PbO6, optimized geometry
data_LiP2PbO6
_chemical_formula_sum 'Li1 P2 Pb1 O6'
_space_group_name_H-M_alt 'P 1'
_space_group_IT_number 1
_cell_length_a 5.372
_cell_length_b 5.372
_cell_length_c 6.467
_cell_angle_alpha 65.46
_cell_angle_beta 65.46
_cell_angle_gamma 60.00
loop_
_space_group_symop_operation_xyz
'x,y,z'
loop_
_atom_site_label
_atom_site_type_symbol
_atom_site_fract_x
_atom_site_fract_y
_atom_site_fract_z
Li1 Li 0.500 0.500 0.500
P1 P 0.773 0.773 0.681
P2 P 0.227 0.227 0.319
Pb1 Pb 0.000 0.000 0.000
O1 O 0.055 0.501 0.729
O2 O 0.715 0.055 0.729
O3 O 0.499 0.285 0.271
O4 O 0.945 0.499 0.271
O5 O 0.285 0.945 0.271
O6 O 0.501 0.715 0.729
# Total DFT energy (no corrections)   -6.3506 eV per atom
# M_tot   1.00 μB/cell

Record 6
# PBE-GGA Li2P2PdO7, optimized geometry
data_Li2P2PdO7
_chemical_formula_sum 'Li4 P4 Pd2 O14'
_space_group_name_H-M_alt 'P 1'
_space_group_IT_number 1
_cell_length_a 8.228
_cell_length_b 8.228
_cell_length_c 8.228
_cell_angle_alpha 127.24
_cell_angle_beta 133.14
_cell_angle_gamma 73.21
loop_
_space_group_symop_operation_xyz
'x,y,z'
loop_
_atom_site_label
_atom_site_type_symbol
_atom_site_fract_x
_atom_site_fract_y
_atom_site_fract_z
Li1 Li 0.231 0.231 0.500
Li2 Li 0.769 0.769 0.500
Li3 Li 0.731 0.231 0.000
Li4 Li 0.269 0.769 0.000
P1 P 0.860 0.410 0.550
P2 P 0.640 0.191 0.550
P3 P 0.140 0.590 0.450
P4 P 0.360 0.809 0.450
Pd1 Pd 0.500 0.000 0.000
Pd2 Pd 0.000 0.000 0.500
O1 O 0.667 0.298 0.235
O2 O 0.437 0.068 0.235
O3 O 0.167 0.932 0.369
O4 O 0.250 0.600 0.350
O5 O 0.750 0.400 0.650
O6 O 0.060 0.363 0.303
O7 O 0.937 0.702 0.369
O8 O 0.063 0.298 0.631
O9 O 0.940 0.637 0.697
O10 O 0.563 0.932 0.765
O11 O 0.560 0.257 0.697
O12 O 0.833 0.068 0.631
O13 O 0.440 0.743 0.303
O14 O 0.333 0.702 0.765
# Total DFT energy (no corrections)   -6.5211 eV per atom
# M_tot   0.00 μB/cell